Here is a relaxed structure of PuAg2PbO6 from Alexandria. Energies are from PBE.

The structure in POSCAR format:
```
PuAg2PbO6
1.0
4.275 0.000 0.000
0.000 6.173 0.000
0.000 0.000 6.173
Pu Ag Pb O
1 2 1 6
Direct
0.683 0.000 0.000 Pu
0.015 0.500 0.000 Ag
0.015 0.000 0.500 Ag
0.630 0.500 0.500 Pb
0.695 0.226 0.226 O
0.695 0.226 0.774 O
0.134 0.500 0.500 O
0.189 0.000 0.000 O
0.695 0.774 0.774 O
0.695 0.774 0.226 O
```

## Properties
Its total magnetization is 0.99 μB/f.u. Its volume is 16.29 Å³ per atom. Its symmetry is P4mm, No. 99. The calculation puts the formation energy without anion corrections at -1.147 eV per atom.